(1)
RbMg2NiSn | PBE | optimized geometry

Computed properties:
total magnetization: 0.0 μB/f.u.
electronic total energy: -2.819 eV/atom
formation enthalpy at 0 K: -0.031 eV/atom

Cell: 5.169 5.169 4.948 Å, 90.00 90.00 90.00°
Space group P4/mmm (No. 123)
Inequivalent atoms, fractional coordinates:
Rb1 0.000 0.000 0.000 (multiplicity 1)
Mg1 0.000 0.500 0.500 (multiplicity 2)
Ni1 0.500 0.500 0.500 (multiplicity 1)
Sn1 0.500 0.500 0.000 (multiplicity 1)

---

(2)
Ca3Th2NpAs6 | PBE | optimized geometry

Computed properties:
total magnetization: 3.0 μB/f.u.
electronic total energy: -6.329 eV/atom
formation enthalpy at 0 K: -1.189 eV/atom

Cell: 7.381 12.783 7.309 Å, 90.00 109.67 90.00°
Space group C2/m (No. 12)
Inequivalent atoms, fractional coordinates:
Ca1 0.000 0.000 0.000 (multiplicity 2)
Ca2 0.000 0.332 0.000 (multiplicity 4)
Th1 0.000 0.166 0.500 (multiplicity 4)
Np1 0.000 0.500 0.500 (multiplicity 2)
As1 0.242 0.337 0.738 (multiplicity 8)
As2 0.246 0.500 0.263 (multiplicity 4)

---

(3)
PmErSc | PBE | optimized geometry

Computed properties:
total magnetization: 0.0 μB/f.u.
electronic total energy: -5.120 eV/atom
E above lowest polymorph: 45.3 meV per atom
formation enthalpy at 0 K: 0.095 eV/atom

Cell: 3.421 5.089 10.368 Å, 90.00 99.48 90.00°
Space group P1 (No. 1)
Inequivalent atoms, fractional coordinates:
Pm1 0.000 0.000 0.000 (multiplicity 1)
Pm2 0.096 0.500 0.194 (multiplicity 1)
Er1 0.418 0.500 0.837 (multiplicity 1)
Er2 0.678 0.000 0.357 (multiplicity 1)
Sc1 0.257 0.499 0.517 (multiplicity 1)
Sc2 0.837 0.001 0.677 (multiplicity 1)

---

(4)
MgFePt2 | PBE | optimized geometry

Computed properties:
total magnetization: 3.4 μB/f.u.
electronic total energy: -6.015 eV/atom
formation enthalpy at 0 K: -0.481 eV/atom

Cell: 2.872 4.534 4.602 Å, 90.00 90.00 90.00°
Space group Pmm2 (No. 25)
Inequivalent atoms, fractional coordinates:
Mg1 0.000 0.000 0.000 (multiplicity 1)
Fe1 0.000 0.500 0.421 (multiplicity 1)
Pt1 0.500 0.000 0.500 (multiplicity 1)
Pt2 0.500 0.500 0.922 (multiplicity 1)

---

(5)
YFe2Pb | PBE | optimized geometry

Computed properties:
total magnetization: 4.7 μB/f.u.
electronic total energy: -6.647 eV/atom
formation enthalpy at 0 K: 0.128 eV/atom

Cell: 3.268 3.268 7.379 Å, 90.00 90.00 90.00°
Space group P4mm (No. 99)
Inequivalent atoms, fractional coordinates:
Y1 0.000 0.000 0.000 (multiplicity 1)
Fe1 0.000 0.000 0.397 (multiplicity 1)
Fe2 0.500 0.500 0.259 (multiplicity 1)
Pb1 0.500 0.500 0.650 (multiplicity 1)

---

(6)
PdC3Se | PBE | optimized geometry

Computed properties:
total magnetization: 0.0 μB/f.u.
electronic total energy: -4.462 eV/atom
E above lowest polymorph: 87.4 meV per atom
E_form (uncorrected): 2807.5 meV per atom

Cell: 3.870 3.870 3.870 Å, 90.00 90.00 90.00°
Space group Pm-3m (No. 221)
Inequivalent atoms, fractional coordinates:
Pd1 0.000 0.000 0.000 (multiplicity 1)
C1 0.000 0.500 0.500 (multiplicity 3)
Se1 0.500 0.500 0.500 (multiplicity 1)

---

(7)
LiCo2P | PBE | optimized geometry

Computed properties:
total magnetization: 1.9 μB/f.u.
electronic total energy: -5.584 eV/atom
formation enthalpy at 0 K: -0.200 eV/atom

Cell: 2.851 3.751 8.023 Å, 90.00 90.00 90.00°
Space group Imm2 (No. 44)
Inequivalent atoms, fractional coordinates:
Li1 0.000 0.000 0.000 (multiplicity 2)
Co1 0.000 0.000 0.525 (multiplicity 2)
Co2 0.000 0.500 0.768 (multiplicity 2)
P1 0.000 0.500 0.238 (multiplicity 2)

---

(8)
NbGaB3 | PBE | optimized geometry

Computed properties:
total magnetization: 0.0 μB/f.u.
electronic total energy: -4.932 eV/atom
E above lowest polymorph: 206.3 meV per atom
formation enthalpy at 0 K: 1.694 eV/atom

Cell: 3.962 3.962 3.962 Å, 90.00 90.00 90.00°
Space group Pm-3m (No. 221)
Inequivalent atoms, fractional coordinates:
Nb1 0.000 0.000 0.000 (multiplicity 1)
Ga1 0.500 0.500 0.500 (multiplicity 1)
B1 0.000 0.500 0.500 (multiplicity 3)